Computed, not measured: ZnPdAu3 after structural relaxation at the PBE level of DFT.

Magnetization   0.0 Bohr magnetons per cell
ΔE to the lowest computed polymorph   79 meV/atom
D(E_F)   0.2377 states/eV/atom
Volume   371.9 Å³ per cell

Cell lengths 8.740, 8.740, 4.941 Å; angles 90.72, 90.72, 80.22 degrees
Fractional coordinates of all 20 atoms:
Zn (0.168, 0.832, 0.750)
Zn (0.305, 0.695, 0.250)
Zn (0.695, 0.305, 0.750)
Zn (0.832, 0.168, 0.250)
Pd (0.033, 0.658, 0.424)
Pd (0.342, 0.967, 0.076)
Pd (0.658, 0.033, 0.924)
Pd (0.967, 0.342, 0.576)
Au (0.097, 0.215, 0.069)
Au (0.157, 0.534, 0.914)
Au (0.215, 0.097, 0.569)
Au (0.285, 0.410, 0.417)
Au (0.410, 0.285, 0.917)
Au (0.466, 0.843, 0.586)
Au (0.534, 0.157, 0.414)
Au (0.590, 0.715, 0.083)
Au (0.715, 0.590, 0.583)
Au (0.785, 0.903, 0.431)
Au (0.843, 0.466, 0.086)
Au (0.903, 0.785, 0.931)

---

Computed, not measured: Sr2ScAuN after structural relaxation at the PBE level of DFT.

Formation energy without anion corrections   -0.71 eV/atom
Magnetization   0.0 Bohr magnetons per cell
D(E_F)   0.8959 states/eV/atom
Volume   122.7 Å³ per cell

Cell lengths 5.372, 5.372, 4.252 Å; angles 90.00, 90.00, 90.00 degrees
Fractional coordinates of all 5 atoms:
Sr (0.000, 0.500, 0.000)
Sr (0.500, 0.000, 0.000)
Sc (0.000, 0.000, 0.500)
Au (0.500, 0.500, 0.500)
N (0.000, 0.000, 0.000)

---

Computed, not measured: Ac2BiP2N6 after structural relaxation at the PBE level of DFT.

Formation energy without anion corrections   -0.42 eV/atom
Magnetization   0.9 Bohr magnetons per cell
D(E_F)   0.1965 states/eV/atom
Volume   191.8 Å³ per cell

Cell lengths 5.932, 5.932, 6.294 Å; angles 90.00, 90.00, 120.00 degrees
Fractional coordinates of all 11 atoms:
Ac (0.333, 0.667, 0.328)
Ac (0.667, 0.333, 0.672)
Bi (0.000, 0.000, 0.000)
P (0.333, 0.667, 0.812)
P (0.667, 0.333, 0.188)
N (0.109, 0.373, 0.755)
N (0.264, 0.891, 0.755)
N (0.373, 0.264, 0.245)
N (0.627, 0.736, 0.755)
N (0.736, 0.109, 0.245)
N (0.891, 0.627, 0.245)

---

Computed, not measured: Pr7Tm4Th after structural relaxation at the PBE level of DFT.

E_tot   -4.879 eV per atom
Magnetization   0.0 Bohr magnetons per cell
D(E_F)   1.4492 states/eV/atom
Volume   406.6 Å³ per cell

Cell lengths 6.352, 7.326, 8.985 Å; angles 90.13, 103.45, 90.04 degrees
Fractional coordinates of all 12 atoms:
Pr (0.000, 0.000, 0.000)
Pr (0.226, 0.001, 0.662)
Pr (0.281, 0.256, 0.333)
Pr (0.499, 0.261, 0.996)
Pr (0.501, 0.739, 0.004)
Pr (0.719, 0.744, 0.667)
Pr (0.774, 0.999, 0.338)
Tm (0.214, 0.501, 0.667)
Tm (0.273, 0.741, 0.330)
Tm (0.727, 0.259, 0.670)
Tm (0.786, 0.499, 0.333)
Th (0.000, 0.500, 0.000)

---

Computed, not measured: CoCuBr after structural relaxation at the PBE level of DFT.

Formation energy without anion corrections   0.49 eV/atom
Magnetization   1.8 Bohr magnetons per cell
ΔE to the lowest computed polymorph   30 meV/atom
D(E_F)   1.2925 states/eV/atom
Volume   51.0 Å³ per cell

Cell lengths 3.257, 3.257, 5.550 Å; angles 90.00, 90.00, 120.00 degrees
Fractional coordinates of all 3 atoms:
Co (0.000, 0.000, 0.000)
Cu (0.667, 0.333, 0.293)
Br (0.333, 0.667, 0.708)

---

Computed, not measured: Hg2OsSe after structural relaxation at the PBE level of DFT.

Formation energy without anion corrections   0.50 eV/atom
Magnetization   0.0 Bohr magnetons per cell
D(E_F)   0.8637 states/eV/atom
Volume   87.3 Å³ per cell

Cell lengths 3.069, 3.069, 11.012 Å; angles 90.00, 90.00, 122.68 degrees
Fractional coordinates of all 4 atoms:
Hg (0.000, 0.000, 0.000)
Hg (0.500, 0.500, 0.278)
Os (0.000, 0.000, 0.504)
Se (0.500, 0.500, 0.678)